Below is an optimized crystal structure of BaYO2, with properties calculated at the PBE level. Values from VASP.

Output
Its distance to the lowest polymorph of the same formula is 0.1144 eV/atom. The calculation puts the density of states at the Fermi level at 3.00 states/eV/f.u. The calculation puts the spin magnetization at 1.7 μB/cell. The uncorrected formation energy is -2.559 eV per atom.

Geometry as Quantum ESPRESSO input:
```
&SYSTEM
  ibrav = 0, nat = 8, ntyp = 3
/
ATOMIC_SPECIES
Ba 137.33 Ba.upf
Y 88.91 Y.upf
O 16.00 O.upf
CELL_PARAMETERS angstrom
-2.888 2.888 5.463
2.888 -2.888 5.463
2.888 2.888 -5.463
ATOMIC_POSITIONS angstrom
Ba 0.000 0.000 0.000
Ba 0.000 2.888 2.732
Y 2.888 0.000 2.732
Y 0.000 0.000 5.463
O 1.444 -1.022 4.097
O 1.866 1.444 1.366
O 1.444 3.910 -1.366
O 1.022 1.444 6.829
```